(1)
! PBE SmDy3Y2Er6, relaxed; values from VASP
&SYSTEM
  ibrav = 0, nat = 12, ntyp = 4
/
ATOMIC_SPECIES
Er 167.26 Er.upf
Y 88.91 Y.upf
Dy 162.50 Dy.upf
Sm 150.36 Sm.upf
ATOMIC_POSITIONS angstrom
Er 7.439 1.823 3.994
Er 2.387 -1.154 2.358
Er 9.225 0.204 1.405
Er 3.451 0.683 -0.462
Er 4.173 -2.773 -0.231
Er 8.160 -1.632 4.226
Y 0.722 -3.454 0.234
Y 1.787 -1.616 -2.589
Dy 6.870 1.362 -0.939
Dy 4.741 -2.312 4.703
Dy 5.806 -0.475 1.882
Sm 0.000 0.000 0.000
CELL_PARAMETERS angstrom
-0.344 -5.292 3.057
2.853 0.223 -5.412
9.103 4.120 6.118
! Energy, eV per atom: -4.881
! Magnetization, μB per formula unit: 0.00

***

(2)
! PBE PmErTh14, relaxed; values from VASP
&SYSTEM
  ibrav = 0, nat = 16, ntyp = 3
/
ATOMIC_SPECIES
Th 232.04 Th.upf
Er 167.26 Er.upf
Pm 145.00 Pm.upf
ATOMIC_POSITIONS angstrom
Th 2.284 0.634 2.891
Th 0.676 3.853 8.720
Th 4.137 1.565 0.000
Th 0.554 1.780 0.000
Th 0.676 3.853 2.877
Th -1.053 4.996 0.000
Th 2.535 4.778 0.000
Th -1.148 2.919 5.799
Th 5.870 0.420 8.700
Th 0.821 5.897 5.799
Th 4.267 3.635 8.706
Th 2.284 0.634 8.706
Th 4.267 3.635 2.891
Th 5.870 0.420 2.898
Er -2.788 6.142 5.799
Pm 2.393 2.718 5.799
CELL_PARAMETERS angstrom
7.166 -0.437 0.000
-3.210 6.422 0.000
0.000 0.000 11.597
! Energy, eV per atom: -7.039
! Magnetization, μB per formula unit: 0.00

***

(3)
! PBE Fe3GeB, relaxed; values from VASP
&SYSTEM
  ibrav = 0, nat = 5, ntyp = 3
/
ATOMIC_SPECIES
Fe 55.84 Fe.upf
Ge 72.64 Ge.upf
B 10.81 B.upf
ATOMIC_POSITIONS angstrom
Fe -0.680 -1.658 -0.642
Fe -1.635 0.313 0.923
Fe -0.698 0.881 -1.536
Ge -3.013 -0.463 -1.255
B 0.000 0.000 0.000
CELL_PARAMETERS angstrom
-1.396 1.763 -3.071
-1.360 -3.315 -1.284
-3.269 0.627 1.846
! Energy, eV per atom: -7.292
! Magnetization, μB per formula unit: 3.16

***

(4)
! PBE TiSeN2F, relaxed; values from VASP
&SYSTEM
  ibrav = 0, nat = 5, ntyp = 4
/
ATOMIC_SPECIES
Se 78.96 Se.upf
F 19.00 F.upf
N 14.01 N.upf
Ti 47.87 Ti.upf
ATOMIC_POSITIONS angstrom
Se -1.008 3.050 1.242
F 0.995 0.991 1.278
N -1.704 0.365 1.044
N -0.299 1.694 -1.080
Ti 0.000 0.000 0.000
CELL_PARAMETERS angstrom
-0.599 3.388 -2.161
-3.408 0.730 2.089
1.991 1.981 2.556
! Uncorrected formation energy, eV per atom: -0.182
! Magnetization, μB per formula unit: 0.00

***

(5)
! PBE LiCeScGa, relaxed; values from VASP
&SYSTEM
  ibrav = 0, nat = 4, ntyp = 4
/
ATOMIC_SPECIES
Ga 69.72 Ga.upf
Sc 44.96 Sc.upf
Li 6.94 Li.upf
Ce 140.12 Ce.upf
ATOMIC_POSITIONS angstrom
Ga -2.601 -1.092 -1.158
Sc 0.000 0.000 0.000
Li -7.804 -3.275 -3.473
Ce -5.203 -2.183 -2.315
CELL_PARAMETERS angstrom
-2.038 -2.430 -3.839
-3.793 -3.134 0.768
-4.575 1.198 -1.560
! Energy, eV per atom: -4.526
! Magnetization, μB per formula unit: 0.63

***

(6)
! PBE TmTiBe10, relaxed; values from VASP
&SYSTEM
  ibrav = 0, nat = 12, ntyp = 3
/
ATOMIC_SPECIES
Be 9.01 Be.upf
Ti 47.87 Ti.upf
Tm 168.93 Tm.upf
ATOMIC_POSITIONS angstrom
Be 1.750 3.445 5.975
Be 0.000 2.270 1.183
Be 1.750 1.094 5.975
Be 1.750 3.445 1.833
Be 1.750 0.000 3.904
Be 0.000 0.000 5.342
Be 1.750 2.270 0.000
Be 1.750 1.094 1.833
Be 0.000 0.000 2.466
Be 0.000 2.270 6.625
Ti 0.000 0.000 0.000
Tm 0.000 2.270 3.904
CELL_PARAMETERS angstrom
3.500 0.000 0.000
0.000 4.539 0.000
0.000 0.000 7.808
! Energy, eV per atom: -4.315
! Magnetization, μB per formula unit: 0.00

***

(7)
! PBE Na2CaFeSb, relaxed; values from VASP
&SYSTEM
  ibrav = 0, nat = 5, ntyp = 4
/
ATOMIC_SPECIES
Sb 121.76 Sb.upf
Na 22.99 Na.upf
Fe 55.84 Fe.upf
Ca 40.08 Ca.upf
ATOMIC_POSITIONS angstrom
Sb 0.000 0.000 0.000
Na 0.000 0.000 2.880
Na 2.880 0.000 0.000
Fe 0.000 2.463 0.000
Ca 2.880 2.463 2.880
CELL_PARAMETERS angstrom
5.760 0.000 0.000
0.000 4.926 0.000
0.000 0.000 5.760
! Uncorrected formation energy, eV per atom: 0.339
! Magnetization, μB per formula unit: 2.77

***

(8)
! PBE K2RbNaTl, relaxed; values from VASP
&SYSTEM
  ibrav = 0, nat = 5, ntyp = 4
/
ATOMIC_SPECIES
K 39.10 K.upf
Tl 204.38 Tl.upf
Rb 85.47 Rb.upf
Na 22.99 Na.upf
ATOMIC_POSITIONS angstrom
K 3.482 0.000 0.000
K 0.000 3.482 0.000
Tl 0.000 0.000 3.017
Rb 3.482 3.482 3.017
Na 0.000 0.000 0.000
CELL_PARAMETERS angstrom
6.964 0.000 0.000
0.000 6.964 0.000
0.000 0.000 6.034
! Energy, eV per atom: -1.267
! Magnetization, μB per formula unit: 0.00

***

(9)
! PBE RbAl2Cd, relaxed; values from VASP
&SYSTEM
  ibrav = 0, nat = 8, ntyp = 3
/
ATOMIC_SPECIES
Cd 112.41 Cd.upf
Al 26.98 Al.upf
Rb 85.47 Rb.upf
ATOMIC_POSITIONS angstrom
Cd 0.000 0.000 0.000
Cd -1.759 -6.501 -3.849
Al -3.403 -8.707 -4.390
Al 0.650 -5.339 -4.691
Al -1.518 -3.778 -4.475
Al -2.766 -8.178 -1.841
Rb 1.529 -2.089 -2.768
Rb 1.046 -7.535 -1.519
CELL_PARAMETERS angstrom
-1.276 -1.055 -5.098
4.334 -3.123 -0.438
-3.772 -9.857 0.167
! Energy, eV per atom: -2.020
! Magnetization, μB per formula unit: 0.00

***

(10)
! PBE Cd3BrCl5, relaxed; values from VASP
&SYSTEM
  ibrav = 0, nat = 18, ntyp = 3
/
ATOMIC_SPECIES
Cd 112.41 Cd.upf
Cl 35.45 Cl.upf
Br 79.90 Br.upf
ATOMIC_POSITIONS angstrom
Cd 1.986 7.266 7.270
Cd 0.000 5.791 3.005
Cd 0.000 0.000 0.000
Cd 0.000 2.950 8.530
Cd 1.986 4.245 -1.468
Cd 1.986 1.475 4.265
Cl 0.000 5.607 7.745
Cl 0.000 3.134 3.790
Cl 0.000 5.902 -2.041
Cl 1.986 0.574 1.661
Cl 0.000 0.375 9.555
Cl 0.000 8.366 1.981
Cl 1.986 8.167 9.875
Cl 1.986 6.348 4.614
Cl 0.000 2.587 -0.895
Cl 1.986 2.393 6.921
Br 1.986 3.571 10.326
Br 1.986 5.170 1.209
CELL_PARAMETERS angstrom
3.971 0.000 0.000
0.000 8.489 -2.936
0.000 0.252 14.471
! Uncorrected formation energy, eV per atom: -1.010
! Magnetization, μB per formula unit: 0.00

***

(11)
! PBE ZrBeTeN2, relaxed; values from VASP
&SYSTEM
  ibrav = 0, nat = 5, ntyp = 4
/
ATOMIC_SPECIES
N 14.01 N.upf
Be 9.01 Be.upf
Zr 91.22 Zr.upf
Te 127.60 Te.upf
ATOMIC_POSITIONS angstrom
N 2.037 0.000 0.000
N 0.000 2.037 0.000
Be 2.037 2.037 3.116
Zr 0.000 0.000 0.000
Te 0.000 0.000 3.116
CELL_PARAMETERS angstrom
4.074 0.000 0.000
0.000 4.074 0.000
0.000 0.000 6.233
! Uncorrected formation energy, eV per atom: 0.649
! Magnetization, μB per formula unit: 0.22

***

(12)
! PBE Rb6OF3, relaxed; values from VASP
&SYSTEM
  ibrav = 0, nat = 20, ntyp = 3
/
ATOMIC_SPECIES
Rb 85.47 Rb.upf
F 19.00 F.upf
O 16.00 O.upf
ATOMIC_POSITIONS angstrom
Rb 4.706 1.697 3.408
Rb 5.029 9.163 -0.134
Rb 4.653 4.872 1.016
Rb 4.851 -0.862 7.856
Rb 4.706 4.045 6.353
Rb 4.653 7.084 3.792
Rb 1.144 2.116 7.752
Rb 1.197 5.291 5.360
Rb 1.144 -0.096 4.976
Rb 1.342 7.850 0.912
Rb 1.520 -2.175 8.902
Rb 1.197 2.943 2.415
F 0.047 4.916 7.791
F 3.556 6.498 6.531
F 2.438 2.807 4.932
F 5.947 4.181 3.837
F 0.047 0.490 2.238
F 3.556 2.072 0.977
O 3.859 7.332 1.325
O 0.350 -0.344 7.443
CELL_PARAMETERS angstrom
7.019 0.000 0.000
0.000 9.995 -0.797
0.000 -3.007 9.565
! Uncorrected formation energy, eV per atom: -1.768
! Magnetization, μB per formula unit: 0.00